A relaxed structure of LiAs2Os, computed with PBE.

Computed properties:
- energy relative to the lowest polymorph listed for this composition (meV per atom) = 281
- E_form (eV/atom) = 0.15
- uncorrected energy (eV/atom) = -5.459
- calculated density (Mg/m³) = 9.56

Lattice parameters (Å, degrees): 4.434 4.434 3.132 87.43 87.43 101.01
Fractional coordinates of all 4 atoms:
As1 0.500 0.500 0.000
As2 0.000 0.000 0.000
Li1 0.500 0.000 0.500
Os1 0.000 0.500 0.500